# PuTiCd2

PuTiCd2 after structural relaxation (GGA-PBE, Alexandria via LeMat-Bulk).

Summary:
* DFT total energy: -23.994 eV per cell
* formation energy: 0.016 eV/atom
* DOS(E_F): 1.556 states/eV per atom
* total moment: 1.187 μB/atom
* volume: 21.41 Å³ per atom

Unit cell a=3.019 b=3.019 c=9.393 alpha=90.00 beta=90.00 gamma=90.00
Space group P4/mmm (No. 123)
Inequivalent atoms, fractional coordinates:
Pu 0.000 0.000 0.000
Ti 0.000 0.000 0.500
Cd 0.500 0.500 0.275



# PuTiCd

PuTiCd after structural relaxation (GGA-PBE, Alexandria via LeMat-Bulk).

Summary:
* DFT total energy: -89.649 eV per cell
* formation energy: 0.243 eV/atom
* DOS(E_F): 1.248 states/eV per atom
* total moment: 0.000 μB/atom
* volume: 19.64 Å³ per atom

Unit cell a=8.017 b=3.194 c=9.410 alpha=90.00 beta=101.93 gamma=90.00
Space group P2_1/c (No. 14)
Inequivalent atoms, fractional coordinates:
Pu 0.018 0.248 0.094
Ti 0.241 0.538 0.363
Cd 0.413 0.001 0.621



# Pu2TiCd

Pu2TiCd after structural relaxation (GGA-PBE, Alexandria via LeMat-Bulk).

Summary:
* DFT total energy: -36.799 eV per cell
* formation energy: 0.169 eV/atom
* DOS(E_F): 2.507 states/eV per atom
* energy above the lowest structure with this stoichiometry: 0.0 meV per atom
* total moment: 2.639 μB/atom
* volume: 22.23 Å³ per atom

Unit cell a=4.276 b=4.276 c=4.862 alpha=90.00 beta=90.00 gamma=90.00
Space group P4/mmm (No. 123)
Inequivalent atoms, fractional coordinates:
Pu 0.000 0.500 0.000
Ti 0.000 0.000 0.500
Cd 0.500 0.500 0.500



# Pu2TiCd

Pu2TiCd after structural relaxation (GGA-PBE, Alexandria via LeMat-Bulk).

Summary:
* DFT total energy: -36.511 eV per cell
* formation energy: 0.241 eV/atom
* DOS(E_F): 3.277 states/eV per atom
* energy above the lowest structure with this stoichiometry: 72.1 meV per atom
* total moment: 3.264 μB/atom
* volume: 24.20 Å³ per atom

Unit cell a=3.925 b=3.925 c=6.281 alpha=90.00 beta=90.00 gamma=90.00
Space group P4/mmm (No. 123)
Inequivalent atoms, fractional coordinates:
Pu 0.000 0.000 0.244
Ti 0.500 0.500 0.000
Cd 0.500 0.500 0.500



# Pu2Tl3Cd3

Pu2Tl3Cd3 after structural relaxation (GGA-PBE, Alexandria via LeMat-Bulk).

Summary:
* DFT total energy: -113.385 eV per cell
* formation energy: 0.089 eV/atom
* DOS(E_F): 3.326 states/eV per atom
* total moment: 1.522 μB/atom
* volume: 27.48 Å³ per atom

Unit cell a=9.0545 b=9.0545 c=9.2888 alpha=90.00 beta=90.00 gamma=120.00
Space group R32 (No. 155, hexagonal axes)
Inequivalent atoms, fractional coordinates:
Pu 0.0000 0.0000 0.1994
Tl 0.0000 0.7464 0.5000
Cd 0.0000 0.3050 0.0000



# PuTlCd2

PuTlCd2 after structural relaxation (GGA-PBE, Alexandria via LeMat-Bulk).

Summary:
* DFT total energy: -18.498 eV per cell
* formation energy: 0.008 eV/atom
* DOS(E_F): 1.977 states/eV per atom
* energy above the lowest structure with this stoichiometry: 2.8 meV per atom
* total moment: 1.537 μB/atom
* volume: 25.91 Å³ per atom

Unit cell a=3.306 b=3.306 c=9.480 alpha=90.00 beta=90.00 gamma=90.00
Space group P4/mmm (No. 123)
Inequivalent atoms, fractional coordinates:
Pu 0.000 0.000 0.000
Tl 0.000 0.000 0.500
Cd 0.500 0.500 0.251



# PuTl2Cd4

PuTl2Cd4 after structural relaxation (GGA-PBE, Alexandria via LeMat-Bulk).

Summary:
* DFT total energy: -45.527 eV per cell
* formation energy: -0.006 eV/atom
* DOS(E_F): 2.421 states/eV per atom
* total moment: 0.864 μB/atom
* volume: 26.84 Å³ per atom

Unit cell a=8.857 b=5.112 c=8.825 alpha=90.00 beta=109.86 gamma=90.00
Space group C2/m (No. 12)
Inequivalent atoms, fractional coordinates:
Pu 0.000 0.000 0.000
Tl 0.134 0.000 0.401
Cd 0.106 0.500 0.820
Cd 0.237 0.500 0.210



# Pu3Tl2Cd4

Pu3Tl2Cd4 after structural relaxation (GGA-PBE, Alexandria via LeMat-Bulk).

Summary:
* DFT total energy: -208.293 eV per cell
* formation energy: -0.076 eV/atom
* DOS(E_F): 2.987 states/eV per atom
* total moment: 1.969 μB/atom
* volume: 24.97 Å³ per atom

Unit cell a=9.042 b=15.666 c=6.346 alpha=90.00 beta=90.00 gamma=90.00
Space group Cccm (No. 66)
Inequivalent atoms, fractional coordinates:
Pu 0.000 0.000 0.250
Pu 0.000 0.331 0.250
Tl 0.164 0.163 0.000
Cd 0.162 0.497 0.500
Cd 0.174 0.166 0.500